1.
# BeAs2Cl

An optimized crystal structure of BeAs2Cl (PBEsol, the Alexandria database).

Structure (extended XYZ):
```
4
Lattice="-1.731 -1.463 1.547 2.069 0.289 2.589 -3.513 6.369 2.095" Properties=species:S:1:pos:R:3 pbc="T T T"
As -2.367 4.292 1.412
As -1.145 2.077 0.683
Cl 0.169 -0.587 2.068
Be -1.587 2.598 3.115
```

Values from the calculation:
Energy above the most stable polymorph in this dataset (meV/atom): 107
Raw formation energy (eV per atom): 0.14

***

2.
# BeAs2Cl

An optimized crystal structure of BeAs2Cl (PBEsol, the Alexandria database).

Structure (extended XYZ):
```
4
Lattice="-0.724 -0.170 4.385 3.775 -1.922 -1.707 3.936 1.940 0.725" Properties=species:S:1:pos:R:3 pbc="T T T"
Cl 0.000 0.000 0.000
As 4.296 0.366 2.979
As 2.691 -0.519 0.424
Be 1.606 0.885 2.555
```

Values from the calculation:
Energy above the most stable polymorph in this dataset (meV/atom): 546
Raw formation energy (eV per atom): 0.58

***

3.
# Li4Be3As3ClO12

An optimized crystal structure of Li4Be3As3ClO12 (PBEsol, the Alexandria database).

Structure (extended XYZ):
```
46
Lattice="8.249 0.000 0.000 0.000 8.249 0.000 0.000 0.000 8.249" Properties=species:S:1:pos:R:3 pbc="T T T"
O 1.110 4.922 7.077
O 3.327 1.172 1.110
O 1.172 1.110 3.327
O 7.077 1.110 4.922
O 3.327 7.077 7.138
O 0.797 5.234 2.952
O 1.110 3.327 1.172
O 5.234 2.952 0.797
O 7.077 7.138 3.327
O 2.952 0.797 5.234
O 5.296 7.451 5.234
O 1.172 7.138 4.922
O 4.922 7.077 1.110
O 0.797 3.014 5.296
O 3.014 2.952 7.451
O 5.234 5.296 7.451
O 7.138 4.922 1.172
O 4.922 1.172 7.138
O 2.952 7.451 3.014
O 7.451 5.234 5.296
O 7.138 3.327 7.077
O 5.296 0.797 3.014
O 3.014 5.296 0.797
O 7.451 3.014 2.952
Li 1.400 6.848 6.848
Li 5.525 2.724 2.724
Li 5.525 5.525 5.525
Li 6.848 6.848 1.400
Li 1.400 1.400 1.400
Li 2.724 5.525 2.724
Li 6.848 1.400 6.848
Li 2.724 2.724 5.525
Be 0.000 4.124 2.062
Be 4.124 2.062 0.000
Be 6.186 0.000 4.124
Be 2.062 0.000 4.124
Be 0.000 4.124 6.186
Be 4.124 6.186 0.000
As 6.186 4.124 0.000
As 0.000 2.062 4.124
As 2.062 4.124 0.000
As 0.000 6.186 4.124
As 4.124 0.000 6.186
As 4.124 0.000 2.062
Cl 4.124 4.124 4.124
Cl 0.000 0.000 0.000
```

Values from the calculation:
Raw formation energy (eV per atom): -1.97

***

Copy entry 3 word for word.
# Li4Be3As3ClO12

An optimized crystal structure of Li4Be3As3ClO12 (PBEsol, the Alexandria database).

Structure (extended XYZ):
```
46
Lattice="8.249 0.000 0.000 0.000 8.249 0.000 0.000 0.000 8.249" Properties=species:S:1:pos:R:3 pbc="T T T"
O 1.110 4.922 7.077
O 3.327 1.172 1.110
O 1.172 1.110 3.327
O 7.077 1.110 4.922
O 3.327 7.077 7.138
O 0.797 5.234 2.952
O 1.110 3.327 1.172
O 5.234 2.952 0.797
O 7.077 7.138 3.327
O 2.952 0.797 5.234
O 5.296 7.451 5.234
O 1.172 7.138 4.922
O 4.922 7.077 1.110
O 0.797 3.014 5.296
O 3.014 2.952 7.451
O 5.234 5.296 7.451
O 7.138 4.922 1.172
O 4.922 1.172 7.138
O 2.952 7.451 3.014
O 7.451 5.234 5.296
O 7.138 3.327 7.077
O 5.296 0.797 3.014
O 3.014 5.296 0.797
O 7.451 3.014 2.952
Li 1.400 6.848 6.848
Li 5.525 2.724 2.724
Li 5.525 5.525 5.525
Li 6.848 6.848 1.400
Li 1.400 1.400 1.400
Li 2.724 5.525 2.724
Li 6.848 1.400 6.848
Li 2.724 2.724 5.525
Be 0.000 4.124 2.062
Be 4.124 2.062 0.000
Be 6.186 0.000 4.124
Be 2.062 0.000 4.124
Be 0.000 4.124 6.186
Be 4.124 6.186 0.000
As 6.186 4.124 0.000
As 0.000 2.062 4.124
As 2.062 4.124 0.000
As 0.000 6.186 4.124
As 4.124 0.000 6.186
As 4.124 0.000 2.062
Cl 4.124 4.124 4.124
Cl 0.000 0.000 0.000
```

Values from the calculation:
Raw formation energy (eV per atom): -1.97

***

Q: The lowest raw formation energy belongs to which entry?
A: Li4Be3As3ClO12